Record 1
The following is a GGA-PBE calculation of a relaxed LaSbRh2 crystal, from the Alexandria database.

ΔE_f (raw) in eV/f.u.: -2.91

Geometry as POSCAR:
```
LaSbRh2
1.0
-4.167 1.608 -1.170
-0.875 -5.411 -4.320
-4.267 -5.455 7.696
La Sb Rh
4 4 8
direct
0.750 0.724 0.658
0.250 0.276 0.342
0.750 0.224 0.842
0.250 0.776 0.158
0.750 0.435 0.137
0.250 0.565 0.863
0.250 0.065 0.637
0.750 0.935 0.363
0.250 0.783 0.453
0.750 0.217 0.547
0.250 0.283 0.047
0.250 0.455 0.605
0.250 0.955 0.895
0.750 0.045 0.105
0.750 0.545 0.395
0.750 0.717 0.953
```

Record 2
The following is a GGA-PBE calculation of a relaxed LaSbRh2 crystal, from the Alexandria database.

ΔE_f (raw) in eV/f.u.: -2.37

Geometry as POSCAR:
```
LaSbRh2
1.0
4.673 0.000 0.000
0.000 3.704 -0.118
0.000 0.140 4.670
Rh La Sb
2 1 1
direct
0.000 0.000 0.000
0.500 0.000 0.500
0.000 0.500 0.500
0.500 0.500 0.000
```

Record 3
The following is a GGA-PBE calculation of a relaxed LaSb4Rh6 crystal, from the Alexandria database.

ΔE_f (raw) in eV/f.u.: -4.76

Geometry as POSCAR:
```
LaSb4Rh6
1.0
-0.231 -1.429 -6.668
0.980 -5.034 4.499
-5.696 1.889 3.247
Sb Rh La
4 6 1
direct
0.405 0.874 0.874
0.000 0.126 0.531
0.000 0.531 0.126
0.595 0.469 0.469
0.329 0.562 0.562
0.000 0.767 0.438
0.500 0.500 0.000
0.671 0.233 0.233
0.000 0.438 0.767
0.500 0.000 0.500
0.000 0.000 0.000
```

Record 4
The following is a GGA-PBE calculation of a relaxed La3Sb4Rh8 crystal, from the Alexandria database.

ΔE_f (raw) in eV/f.u.: -10.25

Geometry as POSCAR:
```
La3Sb4Rh8
1.0
-7.262 5.894 -0.843
-3.464 4.300 7.597
1.284 9.230 1.166
Sb Rh La
8 16 6
direct
0.500 0.000 0.500
0.500 0.000 0.000
0.000 0.000 0.500
0.000 0.500 0.500
0.500 0.500 0.500
0.500 0.500 0.000
0.000 0.500 0.000
0.000 0.000 0.000
0.331 0.331 0.331
0.669 0.669 0.669
0.123 0.632 0.123
0.006 0.331 0.331
0.877 0.877 0.368
0.632 0.123 0.123
0.877 0.368 0.877
0.368 0.877 0.877
0.994 0.669 0.669
0.669 0.994 0.669
0.669 0.669 0.994
0.123 0.123 0.632
0.331 0.331 0.006
0.331 0.006 0.331
0.123 0.123 0.123
0.877 0.877 0.877
0.729 0.729 0.271
0.271 0.729 0.271
0.271 0.271 0.729
0.729 0.271 0.271
0.271 0.729 0.729
0.729 0.271 0.729
```

Record 5
The following is a GGA-PBE calculation of a relaxed La12Sb3Rh5 crystal, from the Alexandria database.

ΔE_f (raw) in eV/f.u.: -11.71

Geometry as POSCAR:
```
La12Sb3Rh5
1.0
-2.777 -8.032 -12.729
0.658 -9.498 11.984
-11.228 10.174 2.164
La Rh Sb
48 20 12
direct
0.707 0.585 0.176
0.176 0.085 0.707
0.878 0.585 0.910
0.468 0.676 0.090
0.324 0.793 0.415
0.910 0.085 0.878
0.707 0.122 0.032
0.293 0.415 0.824
0.622 0.590 0.915
0.122 0.707 0.532
0.915 0.090 0.622
0.824 0.910 0.032
0.968 0.590 0.176
0.676 0.468 0.590
0.415 0.293 0.324
0.207 0.532 0.622
0.090 0.176 0.468
0.410 0.378 0.585
0.378 0.410 0.085
0.293 0.878 0.968
0.585 0.707 0.676
0.468 0.793 0.878
0.085 0.176 0.207
0.878 0.293 0.468
0.122 0.415 0.090
0.585 0.878 0.410
0.590 0.968 0.676
0.968 0.378 0.293
0.793 0.324 0.915
0.324 0.532 0.410
0.032 0.622 0.707
0.910 0.824 0.532
0.622 0.032 0.207
0.032 0.410 0.824
0.915 0.824 0.793
0.590 0.622 0.415
0.176 0.090 0.968
0.415 0.122 0.590
0.676 0.207 0.585
0.410 0.032 0.324
0.090 0.915 0.122
0.207 0.676 0.085
0.793 0.468 0.378
0.378 0.968 0.793
0.824 0.915 0.293
0.085 0.910 0.378
0.532 0.324 0.910
0.532 0.207 0.122
0.750 0.625 0.375
0.625 0.875 0.250
0.000 0.000 0.500
0.375 0.250 0.125
0.625 0.750 0.875
0.750 0.125 0.875
0.875 0.625 0.750
0.500 0.500 0.000
0.250 0.375 0.625
0.875 0.250 0.625
0.375 0.125 0.750
0.000 0.000 0.000
0.000 0.500 0.000
0.500 0.500 0.500
0.000 0.500 0.500
0.500 0.000 0.500
0.125 0.375 0.250
0.500 0.000 0.000
0.125 0.750 0.375
0.250 0.875 0.125
0.125 0.875 0.750
0.625 0.250 0.375
0.625 0.375 0.750
0.875 0.125 0.250
0.750 0.375 0.125
0.250 0.625 0.875
0.125 0.250 0.875
0.250 0.125 0.375
0.375 0.750 0.625
0.750 0.875 0.625
0.375 0.625 0.250
0.875 0.750 0.125
```

Record 6
The following is a GGA-PBE calculation of a relaxed LaSbRh2 crystal, from the Alexandria database.

ΔE_f (raw) in eV/f.u.: -0.74

Geometry as POSCAR:
```
LaSbRh2
1.0
0.000 3.473 3.473
3.473 0.000 3.473
3.473 3.473 0.000
Sb Rh La
1 2 1
direct
0.250 0.250 0.250
0.000 0.000 0.000
0.750 0.750 0.750
0.500 0.500 0.500
```

Record 7
The following is a GGA-PBE calculation of a relaxed La5Sb2Rh crystal, from the Alexandria database.

ΔE_f (raw) in eV/f.u.: -7.34
Offset from the most stable computed form in meV per atom: 0

Geometry as POSCAR:
```
La5Sb2Rh
1.0
-7.667 3.013 -1.543
-3.566 -8.459 1.201
-1.568 2.444 12.559
Sb Rh La
8 4 20
direct
0.076 0.993 0.327
0.576 0.007 0.173
0.424 0.993 0.827
0.924 0.493 0.673
0.576 0.493 0.173
0.424 0.507 0.827
0.924 0.007 0.673
0.076 0.507 0.327
0.925 0.750 0.986
0.075 0.250 0.014
0.425 0.250 0.514
0.575 0.750 0.486
0.313 0.539 0.565
0.458 0.250 0.003
0.627 0.250 0.699
0.542 0.750 0.997
0.042 0.250 0.503
0.958 0.750 0.497
0.187 0.539 0.065
0.848 0.750 0.205
0.687 0.461 0.435
0.373 0.750 0.301
0.813 0.461 0.935
0.687 0.039 0.435
0.873 0.250 0.199
0.187 0.961 0.065
0.348 0.250 0.295
0.152 0.250 0.795
0.652 0.750 0.705
0.813 0.039 0.935
0.313 0.961 0.565
0.127 0.750 0.801
```

Record 8
The following is a GGA-PBE calculation of a relaxed La3SbRh crystal, from the Alexandria database.

ΔE_f (raw) in eV/f.u.: -3.69
Offset from the most stable computed form in meV per atom: 141

Geometry as POSCAR:
```
La3SbRh
1.0
-5.534 -0.894 1.309
4.649 -4.095 4.170
-0.819 8.663 2.424
Rh Sb La
2 2 6
direct
0.864 0.730 0.057
0.136 0.270 0.943
0.627 0.254 0.454
0.373 0.746 0.546
0.161 0.323 0.645
0.373 0.747 0.124
0.898 0.796 0.763
0.102 0.204 0.237
0.839 0.677 0.355
0.627 0.253 0.876
```

Record 9
The following is a GGA-PBE calculation of a relaxed LaSbRh2 crystal, from the Alexandria database.

ΔE_f (raw) in eV/f.u.: -3.05

Geometry as POSCAR:
```
LaSbRh2
1.0
4.535 0.002 -0.004
2.273 3.925 -0.004
2.284 1.317 4.898
La Rh Sb
1 2 1
direct
0.250 0.250 0.250
0.042 0.042 0.872
0.458 0.458 0.628
0.750 0.750 0.750
```

Record 10
The following is a GGA-PBE calculation of a relaxed LaSbRh2 crystal, from the Alexandria database.

ΔE_f (raw) in eV/f.u.: -2.15

Geometry as POSCAR:
```
LaSbRh2
1.0
-1.846 2.223 5.008
1.846 -2.223 5.008
1.846 2.223 -5.008
Rh Sb La
2 1 1
direct
0.014 0.014 0.000
0.265 0.765 0.500
0.478 0.478 0.000
0.743 0.243 0.500
```

Record 11
The following is a GGA-PBE calculation of a relaxed LaSbRh2 crystal, from the Alexandria database.

ΔE_f (raw) in eV/f.u.: -2.81

Geometry as POSCAR:
```
LaSbRh2
1.0
4.435 0.000 0.000
0.000 3.731 0.013
0.000 1.848 4.986
Rh La Sb
2 1 1
direct
0.500 0.034 0.307
0.000 0.209 0.958
0.500 0.769 0.838
0.000 0.489 0.398
```

Record 12
The following is a GGA-PBE calculation of a relaxed LaSb3Rh3 crystal, from the Alexandria database.

ΔE_f (raw) in eV/f.u.: -2.25

Geometry as POSCAR:
```
LaSb3Rh3
1.0
-0.649 6.834 1.993
-7.072 -0.848 0.602
0.812 -1.917 6.838
Sb Rh La
6 6 2
direct
0.500 0.000 0.750
0.250 0.500 0.000
0.000 0.250 0.500
0.500 0.000 0.250
0.000 0.750 0.500
0.750 0.500 0.000
0.250 0.000 0.500
0.750 0.000 0.500
0.500 0.750 0.000
0.500 0.250 0.000
0.000 0.500 0.250
0.000 0.500 0.750
0.000 0.000 0.000
0.500 0.500 0.500
```